# Cs2NbInCl6

Crystalline Cs2NbInCl6 at its relaxed geometry (GGA-PBE, Alexandria).

Output
Total moment = 2.000 μB per formula unit
ΔE_f (raw) = -1390 kJ/mol of formula units
Space group = No. 225

a b c (Å): 7.8589 7.8589 7.8589
angles (deg): 60.00 60.00 60.00
Closest atoms and distances in Å follow each position.
Fractional positions:
1 Cs 0.2500 0.2500 0.2500  12 Cl 3.94
2 Cs 0.7500 0.7500 0.7500  12 Cl 3.94
3 Nb 0.0000 0.0000 0.0000  6 Cl 2.51
4 In 0.5000 0.5000 0.5000  6 Cl 3.05
5 Cl 0.2259 0.2259 0.7741  1 Nb 2.51
6 Cl 0.2259 0.7741 0.2259  1 Nb 2.51
7 Cl 0.2259 0.7741 0.7741  1 Nb 2.51
8 Cl 0.7741 0.2259 0.2259  1 Nb 2.51
9 Cl 0.7741 0.2259 0.7741  1 Nb 2.51
10 Cl 0.7741 0.7741 0.2259  1 Nb 2.51


# CsNbInCl6

Crystalline CsNbInCl6 at its relaxed geometry (GGA-PBE, Alexandria).

Output
Total moment = 1.000 μB per formula unit
ΔE_f (raw) = -1173 kJ/mol of formula units
Space group = No. 163

a b c (Å): 7.5274 7.5274 14.0338
angles (deg): 90.00 90.00 120.00
Closest atoms and distances in Å follow each position.
Fractional positions:
1 Cs 0.0000 0.0000 0.0000  6 Cl 3.53
2 Cs 0.0000 0.0000 0.5000  6 Cl 3.53
3 Nb 0.3333 0.6667 0.2500  6 Cl 2.45
4 Nb 0.6667 0.3333 0.7500  6 Cl 2.45
5 In 0.3333 0.6667 0.7500  6 Cl 3.09
6 In 0.6667 0.3333 0.2500  6 Cl 3.09
7 Cl 0.0631 0.4044 0.1501  1 Nb 2.45
8 Cl 0.0631 0.6587 0.3499  1 Nb 2.45
9 Cl 0.3413 0.4044 0.3499  1 Nb 2.45
10 Cl 0.3413 0.9369 0.1501  1 Nb 2.45
11 Cl 0.4044 0.0631 0.6501  1 Nb 2.45
12 Cl 0.4044 0.3413 0.8499  1 Nb 2.45
13 Cl 0.5956 0.6587 0.1501  1 Nb 2.45
14 Cl 0.5956 0.9369 0.3499  1 Nb 2.45
15 Cl 0.6587 0.0631 0.8499  1 Nb 2.45
16 Cl 0.6587 0.5956 0.6501  1 Nb 2.45
17 Cl 0.9369 0.3413 0.6501  1 Nb 2.45
18 Cl 0.9369 0.5956 0.8499  1 Nb 2.45


# CsIn2NiCl8

Crystalline CsIn2NiCl8 at its relaxed geometry (GGA-PBE, Alexandria).

Output
Total moment = 1.007 μB per formula unit
ΔE_f (raw) = -1218 kJ/mol of formula units
Space group = No. 148

a b c (Å): 10.5230 10.5230 10.5230
angles (deg): 36.67 36.67 36.67
Closest atoms and distances in Å follow each position.
Fractional positions:
1 Cs 0.0000 0.0000 0.0000  12 Cl 3.84-4.13
2 In 0.2368 0.2368 0.2368  4 Cl 2.42-2.43
3 In 0.7632 0.7632 0.7632  4 Cl 2.42-2.43
4 Ni 0.5000 0.5000 0.5000  6 Cl 2.49
5 Cl 0.1499 0.7606 0.4420  1 In 2.43, 1 Ni 2.49
6 Cl 0.2394 0.5580 0.8501  1 In 2.43, 1 Ni 2.49
7 Cl 0.3192 0.3192 0.3192  1 In 2.42
8 Cl 0.4420 0.1499 0.7606  1 In 2.43, 1 Ni 2.49
9 Cl 0.5580 0.8501 0.2394  1 In 2.43, 1 Ni 2.49
10 Cl 0.6808 0.6808 0.6808  1 In 2.42
11 Cl 0.7606 0.4420 0.1499  1 In 2.43, 1 Ni 2.49
12 Cl 0.8501 0.2394 0.5580  1 In 2.43, 1 Ni 2.49


# Cs2NpInCl6

Crystalline Cs2NpInCl6 at its relaxed geometry (GGA-PBE, Alexandria).

Output
Total moment = 4.000 μB per formula unit
ΔE_f (raw) = -1615 kJ/mol of formula units
Space group = No. 59

a b c (Å): 7.9827 11.5642 8.5290
angles (deg): 90.00 90.00 90.00
Closest atoms and distances in Å follow each position.
Fractional positions:
1 Cs 0.2500 0.0258 0.2103  7 Cl 3.63-3.99
2 Cs 0.2500 0.4742 0.2103  7 Cl 3.63-3.99
3 Cs 0.7500 0.5258 0.7897  7 Cl 3.63-3.99
4 Cs 0.7500 0.9742 0.7897  7 Cl 3.63-3.99
5 Np 0.2500 0.7500 0.7774  6 Cl 2.72-2.74
6 Np 0.7500 0.2500 0.2226  6 Cl 2.72-2.74
7 In 0.2500 0.2500 0.7210  6 Cl 3.11-3.13
8 In 0.7500 0.7500 0.2790  6 Cl 3.11-3.13
9 Cl 0.0033 0.2500 0.4354  1 Np 2.72
10 Cl 0.0101 0.7500 0.0072  1 Np 2.74
11 Cl 0.2500 0.5143 0.7882  1 Np 2.73
12 Cl 0.2500 0.9857 0.7882  1 Np 2.73
13 Cl 0.4899 0.7500 0.0072  1 Np 2.74
14 Cl 0.4967 0.2500 0.4354  1 Np 2.72
15 Cl 0.5033 0.7500 0.5646  1 Np 2.72
16 Cl 0.5101 0.2500 0.9928  1 Np 2.74
17 Cl 0.7500 0.0143 0.2118  1 Np 2.73
18 Cl 0.7500 0.4857 0.2118  1 Np 2.73
19 Cl 0.9899 0.2500 0.9928  1 Np 2.74
20 Cl 0.9967 0.7500 0.5646  1 Np 2.72


# CsNpIn2Cl8

Crystalline CsNpIn2Cl8 at its relaxed geometry (GGA-PBE, Alexandria).

Output
Total moment = 2.065 μB per formula unit
ΔE_f (raw) = -1576 kJ/mol of formula units
Space group = No. 2

a b c (Å): 7.0239 7.0659 9.5899
angles (deg): 89.29 89.82 87.91
Closest atoms and distances in Å follow each position.
Fractional positions:
1 Cs 0.0000 0.0000 0.0000  6 Cl 3.44-3.50
2 Np 0.0000 0.0000 0.5000  6 Cl 2.52-2.58
3 In 0.4982 0.4967 0.2266  2 Cl 2.79
4 In 0.5018 0.5033 0.7734  2 Cl 2.79
5 Cl 0.1446 0.7789 0.6911  1 Np 2.58
6 Cl 0.1498 0.7833 0.3119  1 Np 2.58
7 Cl 0.2920 0.1981 0.5009  1 Np 2.52
8 Cl 0.3881 0.2828 0.0002  2 In 2.79
9 Cl 0.6119 0.7172 0.9998  2 In 2.79
10 Cl 0.7080 0.8019 0.4991  1 Np 2.52
11 Cl 0.8502 0.2167 0.6881  1 Np 2.58
12 Cl 0.8554 0.2211 0.3089  1 Np 2.58


# Cs4NpIn3Cl12

Crystalline Cs4NpIn3Cl12 at its relaxed geometry (GGA-PBE, Alexandria).

Output
Total moment = 3.868 μB per formula unit
ΔE_f (raw) = -2972 kJ/mol of formula units
Space group = No. 229

a b c (Å): 9.7665 9.7665 9.7665
angles (deg): 109.47 109.47 109.47
Closest atoms and distances in Å follow each position.
Fractional positions:
1 Cs 0.0000 0.0000 0.5000  12 Cl 3.99
2 Cs 0.0000 0.5000 0.0000  12 Cl 3.99
3 Cs 0.5000 0.0000 0.0000  12 Cl 3.99
4 Cs 0.5000 0.5000 0.5000  12 Cl 3.99
5 Np 0.0000 0.0000 0.0000  6 Cl 2.67
6 In 0.0000 0.5000 0.5000  6 Cl 2.82-2.97
7 In 0.5000 0.0000 0.5000  6 Cl 2.82-2.97
8 In 0.5000 0.5000 0.0000  6 Cl 2.82-2.97
9 Cl 0.0000 0.2365 0.2365  1 Np 2.67, 1 In 2.97
10 Cl 0.0000 0.7635 0.7635  1 Np 2.67, 1 In 2.97
11 Cl 0.2365 0.0000 0.2365  1 Np 2.67, 1 In 2.97
12 Cl 0.2365 0.2365 0.0000  1 Np 2.67, 1 In 2.97
13 Cl 0.2500 0.5000 0.7500  2 In 2.82
14 Cl 0.2500 0.7500 0.5000  2 In 2.82
15 Cl 0.5000 0.2500 0.7500  2 In 2.82
16 Cl 0.5000 0.7500 0.2500  2 In 2.82
17 Cl 0.7500 0.2500 0.5000  2 In 2.82
18 Cl 0.7500 0.5000 0.2500  2 In 2.82
19 Cl 0.7635 0.0000 0.7635  1 Np 2.67, 1 In 2.97
20 Cl 0.7635 0.7635 0.0000  1 Np 2.67, 1 In 2.97


# Cs2NpInCl8

Crystalline Cs2NpInCl8 at its relaxed geometry (GGA-PBE, Alexandria).

Output
Total moment = 1.994 μB per formula unit
ΔE_f (raw) = -1705 kJ/mol of formula units
Space group = No. 119

a b c (Å): 8.8232 8.8232 8.8232
angles (deg): 128.83 128.83 75.28
Closest atoms and distances in Å follow each position.
Fractional positions:
1 Cs 0.0000 0.0000 0.0000  8 Cl 3.38
2 Cs 0.7500 0.2500 0.5000  8 Cl 3.52
3 Np 0.2500 0.7500 0.5000  8 Cl 2.74
4 In 0.5000 0.5000 0.0000  8 Cl 3.29
5 Cl 0.1610 0.0765 0.5113  1 Np 2.74
6 Cl 0.1610 0.6497 0.0845  1 Np 2.74
7 Cl 0.3503 0.4347 0.5113  1 Np 2.74
8 Cl 0.3503 0.8390 0.9155  1 Np 2.74
9 Cl 0.5653 0.0765 0.9155  1 Np 2.74
10 Cl 0.5653 0.6497 0.4887  1 Np 2.74
11 Cl 0.9235 0.4347 0.0845  1 Np 2.74
12 Cl 0.9235 0.8390 0.4887  1 Np 2.74


# Cs2InPCl6

Crystalline Cs2InPCl6 at its relaxed geometry (GGA-PBE, Alexandria).

Output
Total moment = 0.000 μB per formula unit
ΔE_f (raw) = -1159 kJ/mol of formula units
Space group = No. 225

a b c (Å): 7.6658 7.6658 7.6658
angles (deg): 60.00 60.00 60.00
Closest atoms and distances in Å follow each position.
Fractional positions:
1 Cs 0.2500 0.2500 0.2500  12 Cl 3.84
2 Cs 0.7500 0.7500 0.7500  12 Cl 3.84
3 In 0.0000 0.0000 0.0000  6 Cl 2.97
4 P 0.5000 0.5000 0.5000  6 Cl 2.45
5 Cl 0.2739 0.2739 0.7261  1 P 2.45
6 Cl 0.2739 0.7261 0.2739  1 P 2.45
7 Cl 0.2739 0.7261 0.7261  1 P 2.45
8 Cl 0.7261 0.2739 0.2739  1 P 2.45
9 Cl 0.7261 0.2739 0.7261  1 P 2.45
10 Cl 0.7261 0.7261 0.2739  1 P 2.45


# CsPaInCl6

Crystalline CsPaInCl6 at its relaxed geometry (GGA-PBE, Alexandria).

Output
Total moment = 1.010 μB per formula unit
ΔE_f (raw) = -1494 kJ/mol of formula units
Space group = No. 163

a b c (Å): 8.2380 8.2380 11.8209
angles (deg): 90.00 90.00 120.00
Closest atoms and distances in Å follow each position.
Fractional positions:
1 Cs 0.3333 0.6667 0.2500  6 Cl 3.51
2 Cs 0.6667 0.3333 0.7500  6 Cl 3.51
3 Pa 0.3333 0.6667 0.7500  6 Cl 2.66
4 Pa 0.6667 0.3333 0.2500  6 Cl 2.66
5 In 0.0000 0.0000 0.0000  6 Cl 3.30
6 In 0.0000 0.0000 0.5000  6 Cl 3.30
7 Cl 0.0770 0.3932 0.6214  1 Pa 2.66
8 Cl 0.0770 0.6837 0.8786  1 Pa 2.66
9 Cl 0.3163 0.3932 0.8786  1 Pa 2.66
10 Cl 0.3163 0.9230 0.6214  1 Pa 2.66
11 Cl 0.3932 0.0770 0.1214  1 Pa 2.66
12 Cl 0.3932 0.3163 0.3786  1 Pa 2.66
13 Cl 0.6068 0.6837 0.6214  1 Pa 2.66
14 Cl 0.6068 0.9230 0.8786  1 Pa 2.66
15 Cl 0.6837 0.0770 0.3786  1 Pa 2.66
16 Cl 0.6837 0.6068 0.1214  1 Pa 2.66
17 Cl 0.9230 0.3163 0.1214  1 Pa 2.66
18 Cl 0.9230 0.6068 0.3786  1 Pa 2.66


# Cs4InPb3Cl12

Crystalline Cs4InPb3Cl12 at its relaxed geometry (GGA-PBE, Alexandria).

Output
Total moment = 0.000 μB per formula unit
ΔE_f (raw) = -2861 kJ/mol of formula units
Space group = No. 229

a b c (Å): 9.8074 9.8074 9.8074
angles (deg): 109.47 109.47 109.47
Closest atoms and distances in Å follow each position.
Fractional positions:
1 Cs 0.0000 0.0000 0.5000  12 Cl 4.00
2 Cs 0.0000 0.5000 0.0000  12 Cl 4.00
3 Cs 0.5000 0.0000 0.0000  12 Cl 4.00
4 Cs 0.5000 0.5000 0.5000  12 Cl 4.00
5 In 0.0000 0.0000 0.0000  6 Cl 2.76
6 Pb 0.0000 0.5000 0.5000  6 Cl 2.83-2.90
7 Pb 0.5000 0.0000 0.5000  6 Cl 2.83-2.90
8 Pb 0.5000 0.5000 0.0000  6 Cl 2.83-2.90
9 Cl 0.0000 0.2437 0.2437  1 In 2.76, 1 Pb 2.90
10 Cl 0.0000 0.7563 0.7563  1 In 2.76, 1 Pb 2.90
11 Cl 0.2437 0.0000 0.2437  1 In 2.76, 1 Pb 2.90
12 Cl 0.2437 0.2437 0.0000  1 In 2.76, 1 Pb 2.90
13 Cl 0.2500 0.5000 0.7500  2 Pb 2.83
14 Cl 0.2500 0.7500 0.5000  2 Pb 2.83
15 Cl 0.5000 0.2500 0.7500  2 Pb 2.83
16 Cl 0.5000 0.7500 0.2500  2 Pb 2.83
17 Cl 0.7500 0.2500 0.5000  2 Pb 2.83
18 Cl 0.7500 0.5000 0.2500  2 Pb 2.83
19 Cl 0.7563 0.0000 0.7563  1 In 2.76, 1 Pb 2.90
20 Cl 0.7563 0.7563 0.0000  1 In 2.76, 1 Pb 2.90


# Cs2InPbCl5

Crystalline Cs2InPbCl5 at its relaxed geometry (GGA-PBE, Alexandria).

Output
Total moment = 0.000 μB per formula unit
ΔE_f (raw) = -1267 kJ/mol of formula units
Space group = No. 36

a b c (Å): 11.3581 11.3581 13.2085
angles (deg): 90.00 90.00 157.05
Closest atoms and distances in Å follow each position.
Fractional positions:
1 Cs 0.1210 0.8790 0.5000  8 Cl 3.59-3.75
2 Cs 0.1234 0.8766 0.0700  8 Cl 3.60-3.87
3 Cs 0.8766 0.1234 0.5700  8 Cl 3.60-3.87
4 Cs 0.8790 0.1210 0.0000  8 Cl 3.59-3.75
5 In 0.4902 0.5098 0.2808  3 Cl 2.82-2.95
6 In 0.5098 0.4902 0.7808  3 Cl 2.82-2.95
7 Pb 0.2275 0.7725 0.7834  6 Cl 2.85-2.96
8 Pb 0.7725 0.2275 0.2834  6 Cl 2.85-2.96
9 Cl 0.0950 0.9050 0.7806  1 Pb 2.95, 2 In 2.95
10 Cl 0.2804 0.7196 0.1394  2 Pb 2.96
11 Cl 0.2807 0.7193 0.4273  2 Pb 2.96
12 Cl 0.3556 0.6444 0.7836  1 Pb 2.85
13 Cl 0.4977 0.5023 0.0681  1 In 2.82
14 Cl 0.5023 0.4977 0.5681  1 In 2.82
15 Cl 0.6444 0.3556 0.2836  1 Pb 2.85
16 Cl 0.7193 0.2807 0.9273  2 Pb 2.96
17 Cl 0.7196 0.2804 0.6394  2 Pb 2.96
18 Cl 0.9050 0.0950 0.2806  1 Pb 2.95, 2 In 2.95


# Cs2In2PbCl6

Crystalline Cs2In2PbCl6 at its relaxed geometry (GGA-PBE, Alexandria).

Output
Total moment = 0.000 μB per formula unit
ΔE_f (raw) = -1388 kJ/mol of formula units
Space group = No. 12

a b c (Å): 7.1308 7.1308 9.0488
angles (deg): 105.55 105.55 69.22
Closest atoms and distances in Å follow each position.
Fractional positions:
1 Cs 0.1985 0.1985 0.1274  5 Cl 3.34-3.68
2 Cs 0.8015 0.8015 0.8726  5 Cl 3.34-3.68
3 In 0.3982 0.3982 0.8101  3 Cl 2.70-2.86
4 In 0.6018 0.6018 0.1899  3 Cl 2.70-2.86
5 Pb 0.0000 0.0000 0.5000  6 Cl 2.88-3.00
6 Cl 0.1887 0.7189 0.2307  1 In 2.86, 1 Pb 3.00
7 Cl 0.2486 0.2486 0.5121  1 In 2.70, 1 Pb 2.88
8 Cl 0.2811 0.8113 0.7693  1 In 2.86, 1 Pb 3.00
9 Cl 0.7189 0.1887 0.2307  1 In 2.86, 1 Pb 3.00
10 Cl 0.7514 0.7514 0.4879  1 In 2.70, 1 Pb 2.88
11 Cl 0.8113 0.2811 0.7693  1 In 2.86, 1 Pb 3.00


Repeat the third record exactly.
# CsIn2NiCl8

Crystalline CsIn2NiCl8 at its relaxed geometry (GGA-PBE, Alexandria).

Output
Total moment = 1.007 μB per formula unit
ΔE_f (raw) = -1218 kJ/mol of formula units
Space group = No. 148

a b c (Å): 10.5230 10.5230 10.5230
angles (deg): 36.67 36.67 36.67
Closest atoms and distances in Å follow each position.
Fractional positions:
1 Cs 0.0000 0.0000 0.0000  12 Cl 3.84-4.13
2 In 0.2368 0.2368 0.2368  4 Cl 2.42-2.43
3 In 0.7632 0.7632 0.7632  4 Cl 2.42-2.43
4 Ni 0.5000 0.5000 0.5000  6 Cl 2.49
5 Cl 0.1499 0.7606 0.4420  1 In 2.43, 1 Ni 2.49
6 Cl 0.2394 0.5580 0.8501  1 In 2.43, 1 Ni 2.49
7 Cl 0.3192 0.3192 0.3192  1 In 2.42
8 Cl 0.4420 0.1499 0.7606  1 In 2.43, 1 Ni 2.49
9 Cl 0.5580 0.8501 0.2394  1 In 2.43, 1 Ni 2.49
10 Cl 0.6808 0.6808 0.6808  1 In 2.42
11 Cl 0.7606 0.4420 0.1499  1 In 2.43, 1 Ni 2.49
12 Cl 0.8501 0.2394 0.5580  1 In 2.43, 1 Ni 2.49